# 1
The following is a DFT calculation (GGA-PBE) of a relaxed structure of BaDyNi2H8.

Structure (POSCAR):
```
BaDyNi2H8
1.0
-2.9715 -3.0482 2.3901
-2.4769 -3.4181 -2.4526
3.1816 -6.3745 0.8119
Ba Dy Ni H
1 1 2 8
direct
0.5000 0.5000 0.5000
0.0000 0.0000 0.0000
0.2765 0.2765 0.1706
0.7235 0.7235 0.8294
0.2002 0.2002 0.3993
0.5534 0.3555 0.1656
0.7998 0.7998 0.6007
0.9256 0.5534 0.1656
0.0744 0.4466 0.8344
0.3555 0.9256 0.1656
0.6445 0.0744 0.8344
0.4466 0.6445 0.8344
```

Results
Its symmetry is No. 148.

=====

# 2
The following is a DFT calculation (GGA-PBE) of a relaxed structure of Zr2W.

Structure (POSCAR):
```
Zr2W
1.0
-2.9300 4.4920 -1.7579
-3.0873 2.9698 3.6745
6.8537 5.1083 1.6298
Zr W
8 4
direct
0.0000 0.0000 0.0000
0.0000 0.0000 0.5000
0.8244 0.3512 0.7500
0.3512 0.8244 0.7500
0.1756 0.1756 0.2500
0.8244 0.8244 0.7500
0.6488 0.1756 0.2500
0.1756 0.6488 0.2500
0.6667 0.6667 0.0713
0.6667 0.6667 0.4287
0.3333 0.3333 0.5713
0.3333 0.3333 0.9287
```

Results
For the distance to the lowest polymorph of the same formula, the calculation gives 173 kJ/mol of formula units. Its symmetry is No. 194.

=====

# 3
The following is a DFT calculation (GGA-PBE) of a relaxed structure of Sr2LiTi6N2O11.

Structure (POSCAR):
```
Sr2LiTi6N2O11
1.0
1.9409 7.5772 0.0172
-1.9409 7.5772 0.0172
0.0000 2.3064 9.5505
Sr Li Ti N O
2 1 6 2 11
direct
0.5542 0.5542 0.2896
0.4223 0.4223 0.7214
0.4875 0.4875 0.0068
0.1219 0.1219 0.9528
0.1495 0.1495 0.5925
0.2369 0.2369 0.2548
0.7382 0.7382 0.7714
0.8305 0.8305 0.4337
0.8580 0.8580 0.0527
0.2086 0.2086 0.7647
0.8226 0.8226 0.8902
0.0345 0.0345 0.6794
0.1287 0.1287 0.3949
0.1549 0.1549 0.1234
0.6175 0.6175 0.9330
0.6818 0.6818 0.5776
0.7604 0.7604 0.2456
0.2988 0.2988 0.4226
0.3579 0.3579 0.0998
0.8522 0.8522 0.6105
0.9425 0.9425 0.3288
0.9887 0.9887 0.9992
```

Results
For the distance to the lowest polymorph of the same formula, the calculation gives 58 kJ/mol of formula units. Its symmetry is No. 8. The calculation puts the energy relative to the elements, uncorrected at -58.846 eV/f.u.

=====

# 4
The following is a DFT calculation (GGA-PBE) of a relaxed structure of Pm2Sm12Ho5.

Structure (POSCAR):
```
Pm2Sm12Ho5
1.0
-5.6282 2.1260 -8.1681
8.7063 -3.5933 -0.6345
-2.9290 -7.3779 0.0979
Pm Sm Ho
2 12 5
direct
0.7709 0.0000 0.0000
0.2291 0.0000 0.0000
0.8427 0.6854 0.1218
0.0399 0.6139 0.7945
0.5740 0.6139 0.7945
0.1681 0.7886 0.3898
0.6205 0.7886 0.3898
0.4483 0.8966 0.7103
0.5517 0.1034 0.2897
0.8319 0.2114 0.6102
0.3795 0.2114 0.6102
0.9601 0.3861 0.2055
0.4260 0.3861 0.2055
0.1573 0.3146 0.8782
0.2462 0.4923 0.5090
0.3521 0.7042 0.0842
0.0000 0.0000 0.5000
0.6479 0.2958 0.9158
0.7538 0.5077 0.4910
```

Results
Its symmetry is No. 12.

=====

# 5
The following is a DFT calculation (GGA-PBE) of a relaxed structure of Rb4Ac3BiSe8.

Structure (POSCAR):
```
Rb4Ac3BiSe8
1.0
-7.7790 4.6431 -0.8001
-3.6359 -7.0324 -5.4601
3.1803 -2.1583 8.2425
Rb Ac Bi Se
4 3 1 8
direct
0.5000 0.0000 0.0000
0.5000 0.0000 0.5000
0.0000 0.0000 0.0000
0.0000 0.0000 0.5000
0.5000 0.5000 0.0000
0.5000 0.5000 0.5000
0.0000 0.5000 0.5000
0.0000 0.5000 0.0000
0.2305 0.7054 0.9751
0.2306 0.7055 0.4612
0.2634 0.2904 0.5267
0.7446 0.7054 0.9751
0.2554 0.2946 0.0249
0.7366 0.7096 0.4733
0.7694 0.2945 0.5388
0.7695 0.2946 0.0249
```

Results
Its symmetry is No. 166. The calculation puts the energy relative to the elements, uncorrected at -24.701 eV/f.u.

=====

# 6
The following is a DFT calculation (GGA-PBE) of a relaxed structure of Sr2CoTe.

Structure (POSCAR):
```
Sr2CoTe
1.0
-4.8303 -6.4743 1.7676
4.6271 -4.7902 -4.9007
2.2130 -6.5244 1.4909
Sr Te Co
4 2 2
direct
0.5923 0.1250 0.2500
0.1577 0.6250 0.2500
0.3750 0.4077 0.7500
0.8750 0.8423 0.7500
0.0000 0.0000 0.0000
0.7500 0.2500 0.5000
0.5000 0.5000 0.0000
0.2500 0.7500 0.5000
```

Results
Its symmetry is No. 122. The calculation puts the energy relative to the elements, uncorrected at -0.547 eV/f.u.

=====

# 7
The following is a DFT calculation (GGA-PBE) of a relaxed structure of AsOsCl2.

Structure (POSCAR):
```
AsOsCl2
1.0
8.9647 0.0075 0.0044
8.3263 3.3225 0.0044
8.3263 1.6035 2.9100
As Os Cl
1 1 2
direct
0.7659 0.7659 0.7659
0.4869 0.4869 0.4869
0.0261 0.0261 0.0261
0.2211 0.2211 0.2211
```

Results
For the distance to the lowest polymorph of the same formula, the calculation gives 95 kJ/mol of formula units. Its symmetry is No. 160. The calculation puts the energy relative to the elements, uncorrected at 0.683 eV/f.u.

=====

# 8
The following is a DFT calculation (GGA-PBE) of a relaxed structure of LiMn2Al.

Structure (POSCAR):
```
LiMn2Al
1.0
-1.1216 0.5988 2.1176
-1.0619 -2.0400 -0.9009
5.5347 -4.7714 4.2808
Al Li Mn
1 1 2
direct
0.5000 0.5000 0.2500
0.5000 0.5000 0.7500
0.0000 0.0000 0.0110
0.0000 0.0000 0.4890
```

Results
Its symmetry is No. 65.

=====

no.,N(E_F) (states/eV per atom),total magnetic moment (μB/f.u.),E (eV per formula unit)
1,0.2721,0.000,-47.1
2,1.2007,0.000,-28.0
3,0.1477,0.000,-182.7
4,1.3427,0.000,-86.6
5,0.0000,0.000,-72.7
6,0.0089,1.000,-14.2
7,0.8268,0.161,-18.9
8,0.9430,0.005,-23.1